Entry 1:
This record from Alexandria describes a relaxed Mg2In crystal. The functional is GGA-PBE.

The structure in POSCAR format:
```
Mg2In
1.0
4.563 0.000 0.000
-2.132 5.000 0.000
-0.006 -1.762 6.070
Mg In
4 2
Cartesian
0.000 0.000 0.000
-0.003 -0.881 3.035
0.085 2.997 1.065
2.340 0.240 5.005
0.121 2.194 4.152
2.304 1.043 1.917
```

Energy of formation from the pure elements = -82 meV/atom
Space-group type = P-1, No. 2

Entry 2:
This record from Alexandria describes a relaxed Ho2ScCuS5 crystal. The functional is GGA-PBE.

The structure in POSCAR format:
```
Ho2ScCuS5
1.0
1.881 -8.104 0.000
1.881 8.104 0.000
0.000 0.000 11.300
Ho Sc Cu S
4 2 2 10
Cartesian
1.881 6.341 5.650
1.881 6.065 1.374
1.881 -6.065 7.024
1.881 -6.341 0.000
1.881 4.962 9.332
1.881 -4.962 3.682
1.881 1.003 3.037
1.881 -1.003 8.687
1.881 7.358 9.926
1.881 3.462 5.464
1.881 3.079 1.862
1.881 2.348 9.222
1.881 0.046 6.698
1.881 -0.046 1.048
1.881 -2.348 3.572
1.881 -3.079 7.512
1.881 -3.462 11.114
1.881 -7.358 4.276
```

Energy relative to the elements, uncorrected = -1688 meV/atom
Space-group type = Cmc2_1, No. 36

Entry 3:
This record from Alexandria describes a relaxed YScTl2 crystal. The functional is GGA-PBE.

The structure in POSCAR format:
```
YScTl2
1.0
3.673 0.000 0.000
0.000 3.673 0.000
0.000 0.000 7.526
Y Sc Tl
1 1 2
Cartesian
0.000 0.000 0.000
0.000 0.000 3.763
1.837 1.837 1.996
1.837 1.837 5.530
```

Energy of formation from the pure elements = -311 meV/atom
Space-group type = P4/mmm, No. 123

Entry 4:
This record from Alexandria describes a relaxed Dy3Zn2Ga crystal. The functional is GGA-PBE.

The structure in POSCAR format:
```
Dy3Zn2Ga
1.0
3.560 0.000 0.000
0.000 3.560 0.000
0.000 0.000 10.775
Dy Zn Ga
3 2 1
Cartesian
0.000 0.000 0.000
0.000 0.000 3.580
0.000 0.000 7.195
1.780 1.780 1.757
1.780 1.780 9.019
1.780 1.780 5.388
```

Energy above the lowest structure with this stoichiometry = 5 meV per atom
Energy of formation from the pure elements = -423 meV/atom
Space-group type = P4/mmm, No. 123

Entry 5:
This record from Alexandria describes a relaxed Mg7Al2Ga2 crystal. The functional is GGA-PBE.

The structure in POSCAR format:
```
Mg7Al2Ga2
1.0
3.668 -4.148 0.000
3.668 4.148 0.000
-2.473 0.000 7.486
Mg Al Ga
7 2 2
Cartesian
0.000 0.000 0.000
0.063 1.534 6.111
0.016 0.000 3.042
0.063 -1.534 6.111
4.801 1.534 1.375
4.848 0.000 4.444
4.801 -1.534 1.375
2.432 1.498 3.743
2.432 -1.498 3.743
2.432 0.000 1.393
2.431 0.000 6.094
```

Energy above the lowest structure with this stoichiometry = 0 meV per atom
Energy of formation from the pure elements = -37 meV/atom
Space-group type = C2/m, No. 12

Entry 6:
This record from Alexandria describes a relaxed Sc2AlCdC crystal. The functional is GGA-PBE.

The structure in POSCAR format:
```
Sc2AlCdC
1.0
4.618 0.000 0.000
0.000 4.618 0.000
0.000 0.000 4.030
Sc Al Cd C
2 1 1 1
Cartesian
0.000 2.309 0.000
2.309 0.000 0.000
0.000 0.000 2.015
2.309 2.309 2.015
0.000 0.000 0.000
```

Energy of formation from the pure elements = -370 meV/atom
Space-group type = P4/mmm, No. 123

| no. | total magnetic moment (Bohr magnetons per cell) |
| --- | --- |
| 1 | 0.0 |
| 2 | 0.0 |
| 3 | 0.0 |
| 4 | 0.0 |
| 5 | 0.0 |
| 6 | 0.0 |